[1]
DFT (GGA-PBE) results for a relaxed structure of SrNdGa2Pt2.

Cell and atoms, written as POSCAR:
```
SrNdGa2Pt2
1.0
4.4637 0.0000 0.0000
-2.2318 3.8657 0.0000
0.0000 0.0000 8.0530
Sr Nd Ga Pt
1 1 2 2
Cartesian
0.0000 0.0000 0.0000
0.0000 0.0000 4.0265
0.0000 2.5771 2.1550
2.2318 1.2886 5.8981
0.0000 2.5771 5.8048
2.2318 1.2886 2.2482
```

## Properties
Formation energy in kJ per mole of atoms: -90.0
Mass density in Mg/m³: 9.1
SG: No. 164
Total DFT energy (no corrections) in eV/atom: -5.03

=====

[2]
DFT (GGA-PBE) results for a relaxed structure of TbNdGa2Pt2.

Cell and atoms, written as POSCAR:
```
TbNdGa2Pt2
1.0
4.4848 0.0000 0.0000
-2.2424 3.8840 0.0000
0.0000 0.0000 7.2214
Tb Nd Ga Pt
1 1 2 2
Cartesian
0.0000 0.0000 0.0000
0.0000 0.0000 3.6107
0.0000 2.5893 1.6842
2.2424 1.2947 5.5372
0.0000 2.5893 5.5441
2.2424 1.2947 1.6773
```

## Properties
Formation energy in kJ per mole of atoms: -100.5
Mass density in Mg/m³: 11.0
SG: No. 164
Total DFT energy (no corrections) in eV/atom: -5.63

=====

[3]
DFT (GGA-PBE) results for a relaxed structure of TbNd2Ga4Pt3.

Cell and atoms, written as POSCAR:
```
TbNd2Ga4Pt3
1.0
4.2656 0.0000 0.0000
0.0000 4.2656 0.0000
0.0000 0.0000 11.6093
Tb Nd Ga Pt
1 2 4 3
Cartesian
0.0000 0.0000 0.0000
0.0000 2.1328 8.4260
2.1328 0.0000 3.1833
0.0000 0.0000 5.8047
0.0000 2.1328 1.9267
2.1328 0.0000 9.6827
2.1328 2.1328 5.8047
0.0000 2.1328 4.3870
2.1328 0.0000 7.2223
2.1328 2.1328 0.0000
```

## Properties
Formation energy in kJ per mole of atoms: -84.6
Mass density in Mg/m³: 10.3
SG: No. 115
Total DFT energy (no corrections) in eV/atom: -5.32

=====

[4]
DFT (GGA-PBE) results for a relaxed structure of TbNd2Ga2Pt7.

Cell and atoms, written as POSCAR:
```
TbNd2Ga2Pt7
1.0
2.9199 -2.8915 0.0000
2.9199 2.8915 0.0000
-2.1398 0.0000 14.0167
Tb Nd Ga Pt
1 2 2 7
Cartesian
0.0000 0.0000 0.0000
-0.0826 0.0000 4.9844
3.7827 0.0000 9.0323
0.7827 0.0000 10.4510
2.9174 0.0000 3.5657
1.4591 1.4453 2.1384
0.9281 0.0000 7.9891
2.2410 1.4453 11.8783
2.9199 0.0000 0.0000
1.4591 -1.4453 2.1384
2.7720 0.0000 6.0276
2.2410 -1.4453 11.8783
```

## Properties
Formation energy in kJ per mole of atoms: -94.8
Mass density in Mg/m³: 13.7
SG: No. 12
Total DFT energy (no corrections) in eV/atom: -6.19

=====

One value per record, in order, for magnetization: 0.00; 0.00; 0.00; 0.00 μB per cell.